This record from the Alexandria database describes a relaxed structure of Zr3CdN. The functional is GGA-PBE.

Results
The uncorrected formation energy comes out at -0.756 eV per atom. As for the space group: No. 194. Its calculated volume is 187 Å³ per cell.

Unit cell a=6.361 b=6.361 c=5.331 alpha=90.00 beta=90.00 gamma=120.00
Fractional positions:
1 Zr 0.165 0.330 0.250
2 Zr 0.165 0.835 0.250
3 Zr 0.330 0.165 0.750
4 Zr 0.670 0.835 0.250
5 Zr 0.835 0.165 0.750
6 Zr 0.835 0.670 0.750
7 Cd 0.333 0.667 0.750
8 Cd 0.667 0.333 0.250
9 N 0.000 0.000 0.000
10 N 0.000 0.000 0.500

---

This record from the Alexandria database describes a relaxed structure of KIn2NiAu. The functional is GGA-PBE.

Results
As for the space group: No. 123. The calculation puts the formation enthalpy at 0 K at -0.5 eV/f.u. Its calculated volume is 128 Å³ per cell.

Unit cell a=4.943 b=4.943 c=5.255 alpha=90.00 beta=90.00 gamma=90.00
Fractional positions:
1 K 0.000 0.000 0.000
2 In 0.000 0.500 0.500
3 In 0.500 0.000 0.500
4 Ni 0.500 0.500 0.500
5 Au 0.500 0.500 0.000

---

This record from the Alexandria database describes a relaxed structure of RbSr2SbSe4. The functional is GGA-PBE.

Results
The uncorrected formation energy comes out at -1.236 eV per atom. As for the space group: No. 74. Its calculated volume is 500 Å³ per cell.

Unit cell a=8.898 b=8.898 c=8.898 alpha=119.94 beta=119.42 gamma=90.55
Fractional positions:
1 Rb 0.500 0.000 0.000
2 Rb 0.500 0.500 0.500
3 Sr 0.000 0.000 0.000
4 Sr 0.000 0.000 0.500
5 Sr 0.000 0.500 0.000
6 Sr 0.500 0.000 0.500
7 Sb 0.000 0.500 0.500
8 Sb 0.500 0.500 0.000
9 Se 0.220 0.737 0.483
10 Se 0.244 0.260 0.516
11 Se 0.244 0.727 0.984
12 Se 0.246 0.263 0.983
13 Se 0.754 0.737 0.017
14 Se 0.756 0.273 0.016
15 Se 0.756 0.740 0.484
16 Se 0.780 0.263 0.517

---

This record from the Alexandria database describes a relaxed structure of Si2AgHg. The functional is GGA-PBE.

Results
The uncorrected formation energy comes out at 0.553 eV per atom. As for the space group: No. 122. Its calculated volume is 157 Å³ per cell.

Unit cell a=6.009 b=6.009 c=6.009 alpha=102.11 beta=102.11 gamma=125.48
Fractional positions:
1 Si 0.110 0.625 0.985
2 Si 0.375 0.360 0.485
3 Si 0.640 0.125 0.015
4 Si 0.875 0.890 0.515
5 Ag 0.000 0.000 0.000
6 Ag 0.750 0.250 0.500
7 Hg 0.250 0.750 0.500
8 Hg 0.500 0.500 0.000

---

This record from the Alexandria database describes a relaxed structure of RhBr3. The functional is GGA-PBE.

Results
The uncorrected formation energy comes out at 0.765 eV per atom. As for the space group: No. 225. Its calculated volume is 89 Å³ per cell.

Unit cell a=5.012 b=5.012 c=5.012 alpha=60.00 beta=60.00 gamma=60.00
Fractional positions:
1 Rh 0.000 0.000 0.000
2 Br 0.250 0.250 0.250
3 Br 0.500 0.500 0.500
4 Br 0.750 0.750 0.750

---

This record from the Alexandria database describes a relaxed structure of SrAuOF2. The functional is GGA-PBE.

Results
The uncorrected formation energy comes out at -1.625 eV per atom. As for the space group: No. 123. Its calculated volume is 86 Å³ per cell.

Unit cell a=4.533 b=4.533 c=4.162 alpha=90.00 beta=90.00 gamma=90.00
Fractional positions:
1 Sr 0.000 0.000 0.000
2 Au 0.500 0.500 0.500
3 O 0.500 0.500 0.000
4 F 0.000 0.500 0.500
5 F 0.500 0.000 0.500

---

This record from the Alexandria database describes a relaxed structure of Dy3TmN4. The functional is GGA-PBE.

Results
The uncorrected formation energy comes out at -1.731 eV per atom. As for the space group: No. 221. Its calculated volume is 117 Å³ per cell.

Unit cell a=4.888 b=4.888 c=4.888 alpha=90.00 beta=90.00 gamma=90.00
Fractional positions:
1 Dy 0.000 0.000 0.500
2 Dy 0.000 0.500 0.000
3 Dy 0.500 0.000 0.000
4 Tm 0.500 0.500 0.500
5 N 0.000 0.000 0.000
6 N 0.000 0.500 0.500
7 N 0.500 0.000 0.500
8 N 0.500 0.500 0.000

---

This record from the Alexandria database describes a relaxed structure of NbV3N. The functional is GGA-PBE.

Results
The uncorrected formation energy comes out at 2.489 eV per atom. As for the space group: No. 221. Its calculated volume is 102 Å³ per cell.

Unit cell a=4.677 b=4.677 c=4.677 alpha=90.00 beta=90.00 gamma=90.00
Fractional positions:
1 Nb 0.000 0.000 0.000
2 V 0.000 0.000 0.500
3 V 0.000 0.500 0.000
4 V 0.500 0.000 0.000
5 N 0.500 0.500 0.500

---

This record from the Alexandria database describes a relaxed structure of Hf2Hg2P. The functional is GGA-PBE.

Results
As for the space group: No. 127. The calculation puts the formation enthalpy at 0 K at -1.8 eV/f.u. Its calculated volume is 218 Å³ per cell.

Unit cell a=6.749 b=6.749 c=4.791 alpha=90.00 beta=90.00 gamma=90.00
Fractional positions:
1 Hf 0.165 0.335 0.000
2 Hf 0.335 0.835 0.000
3 Hf 0.665 0.165 0.000
4 Hf 0.835 0.665 0.000
5 Hg 0.153 0.653 0.500
6 Hg 0.347 0.153 0.500
7 Hg 0.653 0.847 0.500
8 Hg 0.847 0.347 0.500
9 P 0.000 0.000 0.000
10 P 0.500 0.500 0.000

---

This record from the Alexandria database describes a relaxed structure of Ac2SbO. The functional is GGA-PBE.

Results
The uncorrected formation energy comes out at -1.135 eV per atom. As for the space group: No. 225. Its calculated volume is 111 Å³ per cell.

Unit cell a=5.389 b=5.389 c=5.389 alpha=60.00 beta=60.00 gamma=60.00
Fractional positions:
1 Ac 0.250 0.250 0.250
2 Ac 0.750 0.750 0.750
3 Sb 0.000 0.000 0.000
4 O 0.500 0.500 0.500

---

This record from the Alexandria database describes a relaxed structure of TlAgTe2. The functional is GGA-PBE.

Results
The uncorrected formation energy comes out at -0.030 eV per atom. As for the space group: No. 119. Its calculated volume is 121 Å³ per cell.

Unit cell a=9.835 b=9.835 c=9.835 alpha=159.09 beta=159.09 gamma=29.74
Fractional positions:
1 Tl 0.000 0.000 0.000
2 Ag 0.750 0.250 0.500
3 Te 0.365 0.365 0.000
4 Te 0.635 0.635 0.000

---

This record from the Alexandria database describes a relaxed structure of ZrGa2Co. The functional is GGA-PBE.

Results
As for the space group: No. 62. The calculation puts the formation enthalpy at 0 K at -2.0 eV/f.u. Its calculated volume is 501 Å³ per cell.

Unit cell a=14.957 b=6.451 c=5.188 alpha=90.00 beta=90.00 gamma=90.00
Fractional positions:
1 Zr 0.107 0.250 0.230
2 Zr 0.143 0.750 0.467
3 Zr 0.357 0.250 0.967
4 Zr 0.393 0.750 0.730
5 Zr 0.607 0.250 0.270
6 Zr 0.643 0.750 0.033
7 Zr 0.857 0.250 0.533
8 Zr 0.893 0.750 0.770
9 Ga 0.033 0.049 0.735
10 Ga 0.033 0.451 0.735
11 Ga 0.216 0.550 0.965
12 Ga 0.216 0.950 0.965
13 Ga 0.284 0.050 0.465
14 Ga 0.284 0.450 0.465
15 Ga 0.467 0.549 0.235
16 Ga 0.467 0.951 0.235
17 Ga 0.533 0.049 0.765
18 Ga 0.533 0.451 0.765
19 Ga 0.716 0.550 0.535
20 Ga 0.716 0.950 0.535
21 Ga 0.784 0.050 0.035
22 Ga 0.784 0.450 0.035
23 Ga 0.967 0.549 0.265
24 Ga 0.967 0.951 0.265
25 Co 0.074 0.750 0.998
26 Co 0.173 0.250 0.712
27 Co 0.327 0.750 0.212
28 Co 0.426 0.250 0.498
29 Co 0.574 0.750 0.502
30 Co 0.673 0.250 0.788
31 Co 0.827 0.750 0.288
32 Co 0.926 0.250 0.002

---

This record from the Alexandria database describes a relaxed structure of TmSiHOs. The functional is GGA-PBE.

Results
For the uncorrected energy, the calculation gives -0.4972 Ry per atom. As for the space group: No. 129. Its calculated volume is 115 Å³ per cell.

Unit cell a=4.055 b=4.055 c=7.007 alpha=90.00 beta=90.00 gamma=90.00
Fractional positions:
1 Tm 0.250 0.250 0.156
2 Tm 0.750 0.750 0.844
3 Si 0.250 0.250 0.684
4 Si 0.750 0.750 0.316
5 H 0.250 0.750 0.000
6 H 0.750 0.250 0.000
7 Os 0.250 0.750 0.500
8 Os 0.750 0.250 0.500

---

This record from the Alexandria database describes a relaxed structure of LiU2Se2S2. The functional is GGA-PBE.

Results
The uncorrected formation energy comes out at -1.256 eV per atom. As for the space group: No. 12. Its calculated volume is 167 Å³ per cell.

Unit cell a=7.045 b=7.045 c=7.321 alpha=115.24 beta=115.24 gamma=30.74
Fractional positions:
1 Li 0.000 0.000 0.000
2 U 0.134 0.134 0.566
3 U 0.866 0.866 0.434
4 Se 0.473 0.473 0.254
5 Se 0.527 0.527 0.746
6 S 0.207 0.207 0.274
7 S 0.793 0.793 0.726

---

This record from the Alexandria database describes a relaxed structure of BaCa2PmAu4. The functional is GGA-PBE.

Results
As for the space group: No. 166. The calculation puts the formation enthalpy at 0 K at -6.0 eV/f.u. Its calculated volume is 217 Å³ per cell.

Unit cell a=9.767 b=9.767 c=9.767 alpha=30.84 beta=30.84 gamma=30.84
Fractional positions:
1 Ba 0.000 0.000 0.000
2 Ca 0.243 0.243 0.243
3 Ca 0.757 0.757 0.757
4 Pm 0.500 0.500 0.500
5 Au 0.129 0.129 0.129
6 Au 0.392 0.392 0.392
7 Au 0.608 0.608 0.608
8 Au 0.871 0.871 0.871

---

This record from the Alexandria database describes a relaxed structure of TmScS2. The functional is GGA-PBE.

Results
The uncorrected formation energy comes out at -1.899 eV per atom. As for the space group: No. 166. Its calculated volume is 76 Å³ per cell.

Unit cell a=6.495 b=6.495 c=6.495 alpha=33.84 beta=33.84 gamma=33.84
Fractional positions:
1 Tm 0.000 0.000 0.000
2 Sc 0.500 0.500 0.500
3 S 0.247 0.247 0.247
4 S 0.753 0.753 0.753

---

This record from the Alexandria database describes a relaxed structure of Mg2ScTl. The functional is GGA-PBE.

Results
As for the space group: No. 47. The calculation puts the formation enthalpy at 0 K at -0.7 eV/f.u. Its calculated volume is 90 Å³ per cell.

Unit cell a=4.274 b=4.508 c=4.660 alpha=90.00 beta=90.00 gamma=90.00
Fractional positions:
1 Mg 0.000 0.000 0.000
2 Mg 0.500 0.500 0.000
3 Sc 0.000 0.500 0.500
4 Tl 0.500 0.000 0.500

---

This record from the Alexandria database describes a relaxed structure of SrNdGaAg. The functional is GGA-PBE.

Results
As for the space group: No. 216. The calculation puts the formation enthalpy at 0 K at -1.3 eV/f.u. Its calculated volume is 110 Å³ per cell.

Unit cell a=5.382 b=5.382 c=5.382 alpha=60.00 beta=60.00 gamma=60.00
Fractional positions:
1 Sr 0.000 0.000 0.000
2 Nd 0.500 0.500 0.500
3 Ga 0.250 0.250 0.250
4 Ag 0.750 0.750 0.750

---

This record from the Alexandria database describes a relaxed structure of LaTb3Dy2P6. The functional is GGA-PBE.

Results
As for the space group: No. 12. The calculation puts the formation enthalpy at 0 K at -19.1 eV/f.u. Its calculated volume is 285 Å³ per cell.

Unit cell a=7.039 b=7.039 c=7.040 alpha=99.60 beta=99.60 gamma=120.00
Fractional positions:
1 La 0.000 0.000 0.000
2 Tb 0.165 0.835 0.500
3 Tb 0.500 0.500 0.500
4 Tb 0.835 0.165 0.500
5 Dy 0.333 0.667 0.000
6 Dy 0.667 0.333 0.000
7 P 0.085 0.425 0.254
8 P 0.256 0.256 0.747
9 P 0.425 0.085 0.254
10 P 0.575 0.915 0.746
11 P 0.744 0.744 0.253
12 P 0.915 0.575 0.746

---

This record from the Alexandria database describes a relaxed structure of NdNpTe2. The functional is GGA-PBE.

Results
The uncorrected formation energy comes out at -0.908 eV per atom. As for the space group: No. 123. Its calculated volume is 112 Å³ per cell.

Unit cell a=3.814 b=3.814 c=7.726 alpha=90.00 beta=90.00 gamma=90.00
Fractional positions:
1 Nd 0.000 0.000 0.000
2 Np 0.000 0.000 0.500
3 Te 0.500 0.500 0.255
4 Te 0.500 0.500 0.745

---

This record from the Alexandria database describes a relaxed structure of Pm4CoPd2. The functional is GGA-PBE.

Results
As for the space group: No. 12. The calculation puts the formation enthalpy at 0 K at -3.1 eV/f.u. Its calculated volume is 181 Å³ per cell.

Unit cell a=7.402 b=7.402 c=5.976 alpha=104.47 beta=104.47 gamma=34.98
Fractional positions:
1 Pm 0.084 0.084 0.270
2 Pm 0.349 0.349 0.200
3 Pm 0.651 0.651 0.800
4 Pm 0.916 0.916 0.730
5 Co 0.500 0.500 0.000
6 Pd 0.271 0.271 0.673
7 Pd 0.729 0.729 0.327

---

This record from the Alexandria database describes a relaxed structure of Cs2LiZr2S6. The functional is GGA-PBE.

Results
The uncorrected formation energy comes out at -1.332 eV per atom. As for the space group: No. 12. Its calculated volume is 308 Å³ per cell.

Unit cell a=6.551 b=6.551 c=8.505 alpha=96.89 beta=96.89 gamma=119.51
Fractional positions:
1 Cs 0.165 0.835 0.000
2 Cs 0.835 0.165 0.000
3 Li 0.000 0.000 0.500
4 Zr 0.333 0.667 0.500
5 Zr 0.667 0.333 0.500
6 S 0.056 0.402 0.674
7 S 0.303 0.303 0.320
8 S 0.402 0.056 0.674
9 S 0.598 0.944 0.326
10 S 0.697 0.697 0.680
11 S 0.944 0.598 0.326

---

This record from the Alexandria database describes a relaxed structure of ErSc2Pt. The functional is GGA-PBE.

Results
As for the space group: No. 62. The calculation puts the formation enthalpy at 0 K at -2.8 eV/f.u. Its calculated volume is 376 Å³ per cell.

Unit cell a=6.777 b=9.077 c=6.111 alpha=90.00 beta=90.00 gamma=90.00
Fractional positions:
1 Er 0.017 0.250 0.117
2 Er 0.483 0.750 0.617
3 Er 0.517 0.250 0.383
4 Er 0.983 0.750 0.883
5 Sc 0.177 0.057 0.677
6 Sc 0.177 0.443 0.677
7 Sc 0.323 0.557 0.177
8 Sc 0.323 0.943 0.177
9 Sc 0.677 0.057 0.823
10 Sc 0.677 0.443 0.823
11 Sc 0.823 0.557 0.323
12 Sc 0.823 0.943 0.323
13 Pt 0.108 0.750 0.437
14 Pt 0.392 0.250 0.937
15 Pt 0.608 0.750 0.063
16 Pt 0.892 0.250 0.563

---

This record from the Alexandria database describes a relaxed structure of Be2HgBr. The functional is GGA-PBE.

Results
The uncorrected formation energy comes out at 0.473 eV per atom. As for the space group: No. 122. Its calculated volume is 162 Å³ per cell.

Unit cell a=6.293 b=6.293 c=6.293 alpha=124.74 beta=124.74 gamma=81.97
Fractional positions:
1 Be 0.124 0.625 0.999
2 Be 0.375 0.374 0.499
3 Be 0.626 0.125 0.001
4 Be 0.875 0.876 0.501
5 Hg 0.000 0.000 0.000
6 Hg 0.750 0.250 0.500
7 Br 0.250 0.750 0.500
8 Br 0.500 0.500 0.000